VASP calculation (GGA+U) on an optimized crystal structure of Rb2ErCo3F12.

Lattice parameters (Å, degrees): 7.5054 7.5054 7.5054 58.44 58.44 58.44
Each line ends with the local moment (μB).
Element x y z (fractional)
Rb1 0.6104 0.6104 0.6104  0.00
Rb2 0.3896 0.3896 0.3896  0.00
Er1 0.0000 0.0000 0.0000  -0.02
Co1 0.5000 0.0000 0.0000  -0.67
Co2 0.0000 0.5000 0.0000  -0.67
Co3 0.0000 0.0000 0.5000  -0.67
F1 0.3079 0.3079 0.9138  0.01
F2 0.9122 0.9122 0.3533  0.00
F3 0.3533 0.9122 0.9122  0.00
F4 0.9138 0.3079 0.3079  0.01
F5 0.9122 0.3533 0.9122  0.00
F6 0.3079 0.9138 0.3079  0.01
F7 0.6921 0.6921 0.0862  0.01
F8 0.0878 0.0878 0.6467  0.00
F9 0.6467 0.0878 0.0878  0.00
F10 0.0862 0.6921 0.6921  0.01
F11 0.0878 0.6467 0.0878  0.00
F12 0.6921 0.0862 0.6921  0.01

## Properties
density of states at the Fermi level	6.31	states/eV/f.u.
total energy	-4.998	eV/atom
magnetization	2.00	μB per formula unit
crystal system	trigonal